No. 1
First-principles (PBE) data for a relaxed SrCuNiGe2 crystal, as listed in OQMD via LeMat-Bulk.

Output
Crystal system: tetragonal
Total energy in eV/f.u.: -22.36

Lattice parameters (Å, degrees): 4.2502 4.2502 10.2344 90.00 90.00 90.00
Last column: nearest neighbours and their distance in Å.
Space group I-4m2 (No. 119)
Symmetry-distinct sites (fractional):
Sr 0.0000 0.0000 0.0000  8 Ge 3.30, 4 Ni 3.33, 4 Cu 3.33
Cu 0.0000 0.5000 0.2500  4 Ge 2.44
Ni 0.0000 0.5000 0.7500  4 Ge 2.44
Ge 0.0000 0.0000 0.3666  2 Ni 2.44, 2 Cu 2.44

=====

No. 2
First-principles (PBE) data for a relaxed NdZnAg crystal, as listed in OQMD via LeMat-Bulk.

Output
Crystal system: cubic
Total energy in eV/f.u.: -9.15
Calculated formation energy in eV per atom: -0.099

Lattice parameters (Å, degrees): 6.6967 6.6967 6.6967 90.00 90.00 90.00
Last column: nearest neighbours and their distance in Å.
Space group F-43m (No. 216)
Symmetry-distinct sites (fractional):
Nd 0.0000 0.0000 0.0000  4 Zn 2.90
Zn 0.2500 0.2500 0.7500  4 Ag 2.90, 4 Nd 2.90
Ag 0.0000 0.0000 0.5000  4 Zn 2.90

=====

No. 3
First-principles (PBE) data for a relaxed Rb2Tc crystal, as listed in OQMD via LeMat-Bulk.

Output
Energy above the most stable polymorph in this dataset in kJ per mole of atoms: 0.0
Crystal system: cubic
Total energy in eV/f.u.: -6.68

Lattice parameters (Å, degrees): 10.1327 10.1327 10.1327 90.00 90.00 90.00
Last column: nearest neighbours and their distance in Å.
Space group Fd-3m (No. 227, origin choice 2)
Symmetry-distinct sites (fractional):
Rb 0.0000 0.0000 0.0000  6 Rb 3.58
Tc 0.1250 0.1250 0.6250  12 Rb 4.20, 4 Tc 4.39

=====

No. 4
First-principles (PBE) data for a relaxed TlTcAgO3 crystal, as listed in OQMD via LeMat-Bulk.

Output
Crystal system: orthorhombic
Total energy in eV/f.u.: -34.98

Lattice parameters (Å, degrees): 11.2913 2.9370 10.2800 90.00 90.00 90.00
Last column: nearest neighbours and their distance in Å.
Space group Pnma (No. 62)
Symmetry-distinct sites (fractional):
Tl 0.2011 0.2500 0.0947  3 O 2.32-2.45
Tc 0.0009 0.7500 0.3946  6 O 1.93-2.08
Ag 0.0702 0.7500 0.9012  3 O 2.29-2.56
O 0.0750 0.7500 0.2259  1 Tc 1.93
O 0.1097 0.7500 0.6824  2 Tc 2.08, 1 Ag 2.29, 1 Tl 2.32
O 0.1191 0.2500 0.4538  3 Tc 2.06-2.08

=====

No. 5
First-principles (PBE) data for a relaxed NaLuB crystal, as listed in OQMD via LeMat-Bulk.

Output
Energy above the most stable polymorph in this dataset in kJ per mole of atoms: 0.0
Crystal system: cubic
Total energy in eV/f.u.: -10.88

Lattice parameters (Å, degrees): 6.1959 6.1959 6.1959 90.00 90.00 90.00
Last column: nearest neighbours and their distance in Å.
Space group F-43m (No. 216)
Symmetry-distinct sites (fractional):
Na 0.0000 0.0000 0.0000  4 B 2.68
Lu 0.0000 0.0000 0.5000  4 B 2.68
B 0.2500 0.2500 0.7500  4 Na 2.68, 4 Lu 2.68

=====

No. 6
First-principles (PBE) data for a relaxed MgTc crystal, as listed in OQMD via LeMat-Bulk.

Output
Energy above the most stable polymorph in this dataset in kJ per mole of atoms: 57.6
Crystal system: cubic
Total energy in eV/f.u.: -10.76

Lattice parameters (Å, degrees): 3.1992 3.1992 3.1992 90.00 90.00 90.00
Last column: nearest neighbours and their distance in Å.
Space group Pm-3m (No. 221)
Symmetry-distinct sites (fractional):
Mg 0.0000 0.0000 0.0000  8 Tc 2.77
Tc 0.5000 0.5000 0.5000  8 Mg 2.77